Entry 1:
Below is an optimized crystal structure of LaCu2W, with properties calculated at the GGA-PBEsol level.

Formation energy, eV/atom: 0.593
Energy above the most stable polymorph in this dataset, meV per atom: 0
Symmetry: P4/mmm
E_tot, eV per atom: -6.362

abc: 3.807 4.223 4.224
angles: 90.00 90.00 90.00
Positions (direct):
Cu  0.000  0.000  0.000
Cu  0.000  0.500  0.500
La  0.500  0.000  0.500
W  0.500  0.500  0.000

=====

Entry 2:
Below is an optimized crystal structure of Li2MgRe, with properties calculated at the GGA-PBEsol level.

Formation energy, eV/atom: 0.345
Energy above the most stable polymorph in this dataset, meV per atom: 92
Symmetry: C2/m
E_tot, eV per atom: -4.401

abc: 2.541 5.079 5.482
angles: 116.48 101.38 94.28
Positions (direct):
Li  0.000  0.000  0.500
Li  0.500  0.500  0.500
Mg  0.500  0.000  0.000
Re  0.000  0.500  0.000

=====

Entry 3:
Below is an optimized crystal structure of TlGe2BiTe, with properties calculated at the GGA-PBEsol level.

E_form (uncorrected), meV per atom: 743
Symmetry: P4/mmm
E_tot, eV per atom: -3.321

abc: 5.478 5.478 5.972
angles: 90.00 90.00 90.00
Positions (direct):
Tl  0.500  0.500  0.500
Te  0.000  0.000  0.500
Ge  0.000  0.500  0.000
Ge  0.500  0.000  0.000
Bi  0.000  0.000  0.000

=====

Entry 4:
Below is an optimized crystal structure of CoSiAg, with properties calculated at the GGA-PBEsol level.

E_form (uncorrected), meV per atom: -15
Energy above the most stable polymorph in this dataset, meV per atom: 0
Symmetry: P-6m2
E_tot, eV per atom: -5.613

abc: 2.972 3.915 3.915
angles: 120.00 90.00 90.00
Positions (direct):
Si  0.000  0.333  0.667
Co  0.000  0.667  0.333
Ag  0.500  0.000  0.000

=====

Entry 5:
Below is an optimized crystal structure of GdHoIr2, with properties calculated at the GGA-PBEsol level.

Formation energy, eV/atom: -0.755
Symmetry: Fm-3m
E_tot, eV per atom: -10.517

abc: 4.786 4.786 4.786
angles: 60.00 60.00 60.00
Site moments in Bohr magnetons follow the coordinates.
Positions (direct):
Gd  0.500  0.500  0.500  6.94
Ho  0.000  0.000  0.000  0.04
Ir  0.250  0.250  0.250  -0.08
Ir  0.750  0.750  0.750  -0.08

=====

Entry 6:
Below is an optimized crystal structure of MgSbPt2, with properties calculated at the GGA-PBEsol level.

E_form (uncorrected), meV per atom: -469
Symmetry: P4/mmm
E_tot, eV per atom: -5.519

abc: 3.469 3.469 5.741
angles: 90.00 90.00 90.00
Positions (direct):
Mg  0.500  0.500  0.500
Pt  0.000  0.000  0.744
Pt  0.000  0.000  0.256
Sb  0.500  0.500  0.000

=====

Entry 7:
Below is an optimized crystal structure of Mg4Re3, with properties calculated at the GGA-PBEsol level.

Formation energy, eV/atom: 0.299
Energy above the most stable polymorph in this dataset, meV per atom: 9
Symmetry: I4/mmm
E_tot, eV per atom: -6.396

abc: 2.935 2.935 14.487
angles: 95.81 95.81 90.00
Site moments in Bohr magnetons follow the coordinates.
Positions (direct):
Mg  0.156  0.156  0.312  0.00
Mg  0.432  0.432  0.864  0.00
Mg  0.568  0.568  0.136  0.00
Mg  0.844  0.844  0.688  0.00
Re  0.000  0.000  0.000  0.45
Re  0.275  0.275  0.551  0.01
Re  0.725  0.725  0.449  0.01

=====

Entry 8:
Below is an optimized crystal structure of NiSb3Pb, with properties calculated at the GGA-PBEsol level.

E_form (uncorrected), meV per atom: 1616
Symmetry: Pm-3m
E_tot, eV per atom: -3.150

abc: 5.612 5.612 5.612
angles: 90.00 90.00 90.00
Site moments in Bohr magnetons follow the coordinates.
Positions (direct):
Pb  0.000  0.000  0.000  0.00
Sb  0.000  0.500  0.000  -0.01
Sb  0.000  0.000  0.500  -0.01
Sb  0.500  0.000  0.000  -0.01
Ni  0.500  0.500  0.500  0.80

=====

Entry 9:
Below is an optimized crystal structure of NiRhO2F, with properties calculated at the GGA-PBEsol level.

E_form (uncorrected), meV per atom: -89
Symmetry: P4/mmm
E_tot, eV per atom: -5.433

abc: 3.805 3.805 4.017
angles: 90.00 90.00 90.00
Site moments in Bohr magnetons follow the coordinates.
Positions (direct):
Ni  0.500  0.500  0.500  1.14
Rh  0.000  0.000  0.000  0.57
O  0.000  0.500  0.000  0.23
O  0.500  0.000  0.000  0.23
F  0.000  0.000  0.500  0.00

=====

Entry 10:
Below is an optimized crystal structure of Sr4P, with properties calculated at the GGA-PBEsol level.

Formation energy, eV/atom: -0.309
Symmetry: Im-3m
E_tot, eV per atom: -2.939

abc: 6.307 6.307 6.307
angles: 109.47 109.47 109.47
Positions (direct):
P  0.000  0.000  0.000
Sr  0.000  0.000  0.500
Sr  0.000  0.500  0.000
Sr  0.500  0.000  0.000
Sr  0.500  0.500  0.500

=====

Entry 11:
Below is an optimized crystal structure of KRe2Ni, with properties calculated at the GGA-PBEsol level.

Formation energy, eV/atom: 1.331
Energy above the most stable polymorph in this dataset, meV per atom: 552
Symmetry: C2/m
E_tot, eV per atom: -7.158

abc: 2.566 5.030 5.717
angles: 113.52 98.29 100.51
Positions (direct):
K  0.500  0.000  0.000
Ni  0.000  0.500  0.000
Re  0.000  0.000  0.500
Re  0.500  0.500  0.500

=====

Entry 12:
Below is an optimized crystal structure of Li3Co, with properties calculated at the GGA-PBEsol level.

Formation energy, eV/atom: 0.191
Symmetry: R-3m
E_tot, eV per atom: -3.218

abc: 2.577 2.577 9.433
angles: 82.15 82.15 60.00
Site moments in Bohr magnetons follow the coordinates.
Positions (direct):
Co  0.000  0.000  0.000  1.45
Li  0.741  0.741  0.776  -0.01
Li  0.500  0.500  0.500  0.00
Li  0.259  0.259  0.224  -0.01